Entry 1:
# BaZr3Cr | the Alexandria database | PBEsol | optimized geometry
data_BaZr3Cr
_symmetry_space_group_name_H-M 'P 1'
_symmetry_Int_Tables_number 1
_symmetry_space_group_name_Hall 'P 1'
_cell_length_a 5.189
_cell_length_b 5.189
_cell_length_c 5.189
_cell_angle_alpha 90.00
_cell_angle_beta 90.00
_cell_angle_gamma 90.00
loop_
_atom_site_label
_atom_site_type_symbol
_atom_site_fract_x
_atom_site_fract_y
_atom_site_fract_z
_atom_site_occupancy
Zr1 Zr 0.000 0.500 0.000 1
Zr2 Zr 0.000 0.000 0.500 1
Zr3 Zr 0.500 0.000 0.000 1
Cr1 Cr 0.500 0.500 0.500 1
Ba1 Ba 0.000 0.000 0.000 1
# - Formation enthalpy at 0 K: 2.0322 eV/atom
# - Crystal system: cubic

=====

Entry 2:
# Li2PbC | the Alexandria database | PBEsol | optimized geometry
data_Li2PbC
_symmetry_space_group_name_H-M 'P 1'
_symmetry_Int_Tables_number 1
_symmetry_space_group_name_Hall 'P 1'
_cell_length_a 3.722
_cell_length_b 3.722
_cell_length_c 8.915
_cell_angle_alpha 102.05
_cell_angle_beta 102.05
_cell_angle_gamma 90.00
loop_
_atom_site_label
_atom_site_type_symbol
_atom_site_fract_x
_atom_site_fract_y
_atom_site_fract_z
_atom_site_occupancy
Li1 Li 0.625 0.552 0.750 1
Li2 Li 0.802 0.375 0.250 1
Li3 Li 0.448 0.875 0.250 1
Li4 Li 0.125 0.198 0.750 1
C1 C 0.750 0.250 0.500 1
C2 C 0.500 0.500 0.000 1
Pb1 Pb 0.250 0.750 0.500 1
Pb2 Pb 0.000 0.000 0.000 1
# - Formation enthalpy at 0 K: 0.8330 eV/atom
# - Crystal system: tetragonal

=====

Entry 3:
# NaGd3Ti2Sb2O14 | the Alexandria database | PBEsol | optimized geometry
data_NaGd3Ti2Sb2O14
_symmetry_space_group_name_H-M 'P 1'
_symmetry_Int_Tables_number 1
_symmetry_space_group_name_Hall 'P 1'
_cell_length_a 7.240
_cell_length_b 7.277
_cell_length_c 10.268
_cell_angle_alpha 89.64
_cell_angle_beta 90.00
_cell_angle_gamma 90.00
loop_
_atom_site_label
_atom_site_type_symbol
_atom_site_fract_x
_atom_site_fract_y
_atom_site_fract_z
_atom_site_occupancy
O1 O 0.956 0.702 0.623 1
O2 O 0.052 0.697 0.378 1
O3 O 0.759 0.999 0.369 1
O4 O 0.751 0.999 0.078 1
O5 O 0.449 0.689 0.367 1
O6 O 0.044 0.298 0.377 1
O7 O 0.551 0.189 0.867 1
O8 O 0.449 0.811 0.133 1
O9 O 0.956 0.798 0.877 1
O10 O 0.044 0.202 0.123 1
O11 O 0.456 0.202 0.128 1
O12 O 0.769 0.499 0.823 1
O13 O 0.948 0.303 0.622 1
O14 O 0.948 0.197 0.878 1
O15 O 0.241 0.001 0.631 1
O16 O 0.551 0.311 0.633 1
O17 O 0.249 0.499 0.578 1
O18 O 0.052 0.803 0.122 1
O19 O 0.544 0.702 0.628 1
O20 O 0.231 0.999 0.323 1
O21 O 0.751 0.501 0.422 1
O22 O 0.231 0.501 0.177 1
O23 O 0.544 0.798 0.872 1
O24 O 0.456 0.298 0.372 1
O25 O 0.249 0.001 0.922 1
O26 O 0.759 0.501 0.131 1
O27 O 0.241 0.499 0.869 1
O28 O 0.769 0.001 0.677 1
Ti1 Ti 0.000 0.000 0.000 1
Ti2 Ti 0.000 0.500 0.500 1
Ti3 Ti 0.239 0.750 0.250 1
Ti4 Ti 0.761 0.250 0.750 1
Sb1 Sb 0.500 0.000 0.000 1
Sb2 Sb 0.754 0.750 0.750 1
Sb3 Sb 0.246 0.250 0.250 1
Sb4 Sb 0.500 0.500 0.500 1
Gd1 Gd 0.747 0.250 0.250 1
Gd2 Gd 0.267 0.250 0.750 1
Gd3 Gd 0.000 0.000 0.500 1
Gd4 Gd 0.000 0.500 0.000 1
Gd5 Gd 0.253 0.750 0.750 1
Gd6 Gd 0.733 0.750 0.250 1
Na1 Na 0.500 0.500 0.000 1
Na2 Na 0.500 0.000 0.500 1
# - Formation energy from raw total energies: -2720.5 meV per atom
# - Crystal system: monoclinic

=====

Sequential spin magnetization output: 2.9; 0.0; 42.0 μB per cell